Entry 1:
The following is a DFT calculation (PBE) of an optimized crystal structure of KAs2Ru.

Lattice parameters (Å, degrees): 7.0013 7.0013 7.0013 119.56 119.56 90.77
With the nearest neighbours (Å) after each atom.
Positions (direct):
1 K 0.0000 0.0000 0.0000  4 As 3.38
2 K 0.7500 0.2500 0.5000  4 As 3.38
3 As 0.2457 0.6250 0.1207  2 Ru 2.33
4 As 0.3750 0.4957 0.6207  2 Ru 2.33
5 As 0.5043 0.1250 0.8793  2 Ru 2.33
6 As 0.8750 0.7543 0.3793  2 Ru 2.33
7 Ru 0.2500 0.7500 0.5000  4 As 2.33
8 Ru 0.5000 0.5000 0.0000  4 As 2.33

Properties
Its total energy is -5.01 eV/atom. For the total magnetization, the calculation gives 0.000 μB per cell. Its energy relative to the lowest polymorph listed for this composition is 0.108 eV per atom.

Entry 2:
The following is a DFT calculation (PBE) of an optimized crystal structure of TlRuSe.

Lattice parameters (Å, degrees): 7.3109 7.3109 7.3109 155.50 155.50 34.93
With the nearest neighbours (Å) after each atom.
Positions (direct):
1 Tl 0.0000 0.0000 0.0000  4 Tl 3.10, 4 Ru 3.25
2 Ru 0.6723 0.6723 0.0000  4 Se 2.50
3 Se 0.2582 0.2582 0.0000  4 Ru 2.50

Properties
Its total energy is -4.98 eV/atom. For the total magnetization, the calculation gives 0.000 μB per cell. Its energy relative to the lowest polymorph listed for this composition is 0.160 eV per atom. Its uncorrected formation energy is 0.06 eV/atom.

Entry 3:
The following is a DFT calculation (PBE) of an optimized crystal structure of Pm4Sm3PuS8.

Lattice parameters (Å, degrees): 8.0316 8.0316 8.0316 59.97 59.97 59.97
With the nearest neighbours (Å) after each atom.
Positions (direct):
1 Pm 0.0000 0.0000 0.0000  6 S 2.87
2 Pm 0.0000 0.5000 0.5000  6 S 2.85
3 Pm 0.5000 0.0000 0.5000  6 S 2.85
4 Pm 0.5000 0.5000 0.0000  6 S 2.85
5 Sm 0.0000 0.0000 0.5000  6 S 2.83
6 Sm 0.0000 0.5000 0.0000  6 S 2.83
7 Sm 0.5000 0.0000 0.0000  6 S 2.83
8 Pu 0.5000 0.5000 0.5000  6 S 2.81
9 S 0.2492 0.2492 0.2492  3 Sm 2.83, 3 Pm 2.85
10 S 0.2511 0.7474 0.7474  1 Pu 2.81, 2 Sm 2.83, 3 Pm 2.85-2.87
11 S 0.2526 0.2526 0.7489  1 Pu 2.81, 2 Sm 2.83, 3 Pm 2.85-2.87
12 S 0.2526 0.7489 0.2526  1 Pu 2.81, 2 Sm 2.83, 3 Pm 2.85-2.87
13 S 0.7474 0.2511 0.7474  1 Pu 2.81, 2 Sm 2.83, 3 Pm 2.85-2.87
14 S 0.7474 0.7474 0.2511  1 Pu 2.81, 2 Sm 2.83, 3 Pm 2.85-2.87
15 S 0.7489 0.2526 0.2526  1 Pu 2.81, 2 Sm 2.83, 3 Pm 2.85-2.87
16 S 0.7508 0.7508 0.7508  3 Sm 2.83, 3 Pm 2.85

Properties
Its total energy is -7.04 eV/atom. For the total magnetization, the calculation gives 5.664 μB per cell. Its uncorrected formation energy is -2.01 eV/atom.

Question: Among the records above, which one has the highest total magnetization?
Answer: Pm4Sm3PuS8

Question: Look up the total magnetization of the third one.
Answer: 5.664 μB per cell